[1]
Below is a geometry-optimized SmAl4Ga structure, with properties calculated at the GGA-PBE level.

Output
The formation enthalpy at 0 K is 0.3 eV/f.u. As for the space group: I4_1/amd, No. 141. The energy relative to the lowest polymorph listed for this composition is 298 meV per atom.

POSCAR file:
```
SmAl4Ga
1.0
-2.573 2.573 10.387
2.573 -2.573 10.387
2.573 2.573 -10.387
Sm Al Ga
2 8 2
direct
0.375 0.625 0.750
0.625 0.375 0.250
0.229 0.233 0.504
0.229 0.725 0.996
0.233 0.229 0.004
0.275 0.771 0.504
0.725 0.229 0.496
0.767 0.771 0.996
0.771 0.275 0.004
0.771 0.767 0.496
0.125 0.875 0.250
0.875 0.125 0.750
```

[2]
Below is a geometry-optimized SmAlGa4 structure, with properties calculated at the GGA-PBE level.

Output
The formation enthalpy at 0 K is -1.2 eV/f.u. As for the space group: F-43m, No. 216. The energy relative to the lowest polymorph listed for this composition is 137 meV per atom.

POSCAR file:
```
SmAlGa4
1.0
0.000 3.911 3.911
3.911 0.000 3.911
3.911 3.911 0.000
Sm Al Ga
1 1 4
direct
0.000 0.000 0.000
0.250 0.250 0.250
0.126 0.625 0.625
0.625 0.126 0.625
0.625 0.625 0.126
0.625 0.625 0.625
```

The lowest formation enthalpy at 0 K belongs to which entry?
SmAlGa4

energy relative to the lowest polymorph listed for this composition of number 1 (SmAl4Ga)?
298 meV per atom